The following is a DFT calculation (PBE-GGA) of a geometry-optimized Zn3Ga3Sn structure.

## Properties
Its total magnetic moment is 0.00 μB/cell. The calculation puts the excess energy over the best structure of this formula in the dataset at 0.000 eV/atom. The value obtained for the calculated density is 6399 kg/m³. For the density of states at the Fermi level, the calculation gives 4.99 states/eV/cell. Its total energy is -0.086 Ha/atom. The calculation puts the formation energy at 0.078 eV per atom.

```
data_Zn3Ga3Sn
_cell_length_a 8.201
_cell_length_b 8.201
_cell_length_c 4.670
_cell_angle_alpha 90.00
_cell_angle_beta 90.00
_cell_angle_gamma 120.00
_symmetry_space_group_name_H-M 'P 1'
_symmetry_Int_Tables_number 1
_symmetry_space_group_name_Hall 'P 1'
loop_
_atom_site_label
_atom_site_type_symbol
_atom_site_fract_x
_atom_site_fract_y
_atom_site_fract_z
_atom_site_occupancy
Zn1 Zn 0.087 0.543 0.250 1
Zn2 Zn 0.457 0.543 0.250 1
Zn3 Zn 0.457 0.913 0.250 1
Zn4 Zn 0.543 0.087 0.750 1
Zn5 Zn 0.543 0.457 0.750 1
Zn6 Zn 0.913 0.457 0.750 1
Ga1 Ga 0.117 0.233 0.250 1
Ga2 Ga 0.117 0.883 0.250 1
Ga3 Ga 0.233 0.117 0.750 1
Ga4 Ga 0.767 0.883 0.250 1
Ga5 Ga 0.883 0.117 0.750 1
Ga6 Ga 0.883 0.767 0.750 1
Sn1 Sn 0.333 0.667 0.750 1
Sn2 Sn 0.667 0.333 0.250 1
```

The following is a DFT calculation (PBE-GGA) of a geometry-optimized Zn3Ga6Sn structure.

## Properties
Its total magnetic moment is 0.00 μB/cell. The value obtained for the calculated density is 6290 kg/m³. For the density of states at the Fermi level, the calculation gives 5.74 states/eV/cell. Its total energy is -0.093 Ha/atom. The calculation puts the formation energy at 0.058 eV per atom.

```
data_Zn3Ga6Sn
_cell_length_a 7.218
_cell_length_b 7.218
_cell_length_c 8.386
_cell_angle_alpha 90.00
_cell_angle_beta 90.00
_cell_angle_gamma 117.60
_symmetry_space_group_name_H-M 'P 1'
_symmetry_Int_Tables_number 1
_symmetry_space_group_name_Hall 'P 1'
loop_
_atom_site_label
_atom_site_type_symbol
_atom_site_fract_x
_atom_site_fract_y
_atom_site_fract_z
_atom_site_occupancy
Zn1 Zn 0.008 0.992 0.500 1
Zn2 Zn 0.223 0.393 0.432 1
Zn3 Zn 0.393 0.223 0.932 1
Zn4 Zn 0.607 0.777 0.432 1
Zn5 Zn 0.777 0.607 0.932 1
Zn6 Zn 0.992 0.008 0.000 1
Ga1 Ga 0.016 0.403 0.157 1
Ga2 Ga 0.116 0.274 0.739 1
Ga3 Ga 0.235 0.765 0.391 1
Ga4 Ga 0.274 0.116 0.239 1
Ga5 Ga 0.403 0.016 0.657 1
Ga6 Ga 0.472 0.528 0.156 1
Ga7 Ga 0.528 0.472 0.656 1
Ga8 Ga 0.597 0.984 0.157 1
Ga9 Ga 0.726 0.884 0.739 1
Ga10 Ga 0.765 0.235 0.891 1
Ga11 Ga 0.884 0.726 0.239 1
Ga12 Ga 0.984 0.597 0.657 1
Sn1 Sn 0.290 0.710 0.916 1
Sn2 Sn 0.710 0.290 0.416 1
```

The following is a DFT calculation (PBE-GGA) of a geometry-optimized Zn2GaSn structure.

## Properties
Its total magnetic moment is 0.00 μB/cell. The calculation puts the excess energy over the best structure of this formula in the dataset at 0.026 eV/atom. The value obtained for the calculated density is 6616 kg/m³. For the density of states at the Fermi level, the calculation gives 2.01 states/eV/cell. Its total energy is -0.084 Ha/atom. The calculation puts the formation energy at 0.121 eV per atom.

```
data_Zn2GaSn
_cell_length_a 4.839
_cell_length_b 4.839
_cell_length_c 4.839
_cell_angle_alpha 60.00
_cell_angle_beta 60.00
_cell_angle_gamma 60.00
_symmetry_space_group_name_H-M 'P 1'
_symmetry_Int_Tables_number 1
_symmetry_space_group_name_Hall 'P 1'
loop_
_atom_site_label
_atom_site_type_symbol
_atom_site_fract_x
_atom_site_fract_y
_atom_site_fract_z
_atom_site_occupancy
Zn1 Zn 0.250 0.250 0.250 1
Zn2 Zn 0.750 0.750 0.750 1
Ga1 Ga 0.000 0.000 0.000 1
Sn1 Sn 0.500 0.500 0.500 1
```

Which value of calculated density does entry 2 give? 6290 kg/m³

What is the total magnetic moment in the second record? 0.00 μB/cell

Number 2 is which compound? Zn3Ga6Sn

Which formula does entry 1 have? Zn3Ga3Sn